Compound: Ce2PuRu
Source: Alexandria via LeMat-Bulk
Functional: PBE-GGA
Structure: relaxed

Symmetry: P4/mmm
Volume (Å³ per atom): 22.81
Relative energy among the computed polymorphs (meV per atom): 12

POSCAR file:
```
Ce2PuRu
1.0
3.442 0.000 0.000
0.000 3.442 0.000
0.000 0.000 7.700
Ru Ce Pu
1 2 1
Direct
0.500 0.500 0.000
0.000 0.000 0.779
0.000 0.000 0.221
0.500 0.500 0.500
```

Compound: Sr3ScSb
Source: Alexandria via LeMat-Bulk
Functional: PBE-GGA
Structure: relaxed

Formation energy from raw total energies (eV/atom): 0.56
Symmetry: Pm-3m
Volume (Å³ per atom): 45.42

POSCAR file:
```
Sr3ScSb
1.0
6.101 0.000 0.000
0.000 6.101 0.000
0.000 0.000 6.101
Sc Sb Sr
1 1 3
Direct
0.000 0.000 0.000
0.500 0.500 0.500
0.000 0.500 0.000
0.000 0.000 0.500
0.500 0.000 0.000
```